(1)
Entry from Alexandria via LeMat-Bulk: crystalline RbBa2Pb2 at its relaxed geometry (PBE).

## Properties
DFT formation energy, eV/f.u.: -1.8
Size of the total moment, μB/f.u.: 0.0
Space group: P4/mbm

Unit cell a=9.871 b=9.871 c=4.675 alpha=90.00 beta=90.00 gamma=90.00
Fractional positions:
1 Pb 0.383 0.883 0.000
2 Pb 0.883 0.617 0.000
3 Pb 0.617 0.117 0.000
4 Pb 0.117 0.383 0.000
5 Ba 0.169 0.669 0.500
6 Ba 0.669 0.831 0.500
7 Ba 0.831 0.331 0.500
8 Ba 0.331 0.169 0.500
9 Rb 0.000 0.000 0.000
10 Rb 0.500 0.500 0.000

=====

(2)
Entry from Alexandria via LeMat-Bulk: crystalline RbBa2Pb at its relaxed geometry (PBE).

## Properties
DFT formation energy, eV/f.u.: -0.6
Size of the total moment, μB/f.u.: 0.2
Space group: P4/mmm

Unit cell a=5.304 b=5.914 c=5.914 alpha=90.00 beta=90.00 gamma=90.00
Fractional positions:
1 Pb 0.500 0.000 0.000
2 Ba 0.000 0.000 0.500
3 Ba 0.000 0.500 0.000
4 Rb 0.500 0.500 0.500